Entry 1:
TlTcCl2, optimized geometry, DFT PBE; energy above the most stable polymorph in this dataset = 0.291 eV/atom; formation energy (no corrections) = 128 meV/atom
1.0
-2.898 1.428 0.850
-1.463 -1.382 -2.667
-2.009 -6.847 4.649
Tl Cl Tc
1 2 1
Cartesian
-3.687 -5.112 2.578
-0.116 -0.394 0.268
-0.889 -3.029 2.057
-2.683 -1.689 0.254

Entry 2:
UPa2Cr2C4, optimized geometry, DFT PBE; ΔH_f (0 K) = -169 meV per atom
1.0
-1.960 2.412 -0.513
-0.923 -4.005 -5.631
-3.536 -1.986 4.174
C Cr U Pa
4 2 1 2
Cartesian
-2.664 -3.080 -4.301
-4.695 -1.792 -0.161
-3.755 -0.498 2.331
-1.724 -1.786 -1.808
-1.716 0.162 -2.352
-4.703 -3.741 0.382
0.000 0.000 0.000
-4.071 -1.813 -2.641
-2.347 -1.765 0.671

Entry 3:
Pm5NdTm3, optimized geometry, DFT PBE; ΔH_f (0 K) = 58 meV per atom; energy above the most stable polymorph in this dataset = 0.000 eV/atom
1.0
-3.524 9.187 -0.264
-5.444 -7.211 5.241
1.214 0.665 6.925
Nd Tm Pm
2 6 10
Cartesian
-1.374 6.456 5.022
-0.936 3.397 1.638
-4.591 -1.630 4.558
0.000 0.000 0.000
0.607 0.332 3.462
-3.771 3.939 3.881
-3.983 -1.297 8.020
-3.164 4.271 7.344
-6.592 4.503 6.121
-2.342 1.194 5.695
-5.412 1.448 6.207
-4.928 2.079 9.662
-2.570 -4.048 9.837
-0.202 3.398 5.110
-2.108 6.454 1.550
-2.827 0.562 2.240
-5.185 6.689 2.065
-1.162 -1.862 5.781

Entry 4:
K2ReP2N6, optimized geometry, DFT PBE; formation energy (no corrections) = -116 meV/atom
1.0
5.546 0.000 0.000
2.773 4.803 0.000
2.773 1.601 5.948
K N Re P
2 6 1 2
Cartesian
8.318 4.803 3.677
2.773 1.601 2.270
5.546 1.628 1.169
4.182 2.415 4.778
4.182 3.989 1.169
5.546 4.776 4.778
6.909 2.415 4.778
6.909 3.989 1.169
0.000 0.000 0.000
5.546 3.202 4.868
5.546 3.202 1.080

Q: Which Fermi-level density of states values were calculated for the entries above? A: 1.20, 6.97, 28.68, 1.04, in states/eV per cell.
Q: Which total moment values were calculated for the entries above? A: 4.24, 0.00, 0.00, 0.00, in μB/f.u..